A plane-wave DFT calculation with PBEsol was carried out for a geometry-optimized LaBrCl2 structure.

Lattice parameters (Å, degrees): 10.960 4.004 6.368 90.00 120.77 90.00
Fractional positions:
La 0.000 0.000 0.000
La 0.500 0.500 0.000
Br 0.291 0.000 0.996
Br 0.791 0.500 0.996
Cl 0.162 0.500 0.335
Cl 0.478 0.000 0.684
Cl 0.662 0.000 0.335
Cl 0.978 0.500 0.684

* total moment: 0.00 μB/f.u.
* E_tot: -0.1831 hartree per atom
* energy relative to the lowest polymorph listed for this composition: 0.0 meV/atom
* uncorrected formation energy: -2174.3 meV per atom
* symmetry: Cm, No. 8